(1)
## TbPrGaRu (PBE)

Data for crystalline TbPrGaRu at its relaxed geometry.

a b c (Å): 5.052 5.052 5.052
angles (deg): 60.00 60.00 60.00
Fractional positions:
Tb (0.000, 0.000, 0.000)
Pr (0.500, 0.500, 0.500)
Ga (0.250, 0.250, 0.250)
Ru (0.750, 0.750, 0.750)

## Properties
* space group: F-43m, No. 216
* total magnetic moment: 0.00 μB per cell
* total energy: -5.77 eV per atom
* energy of formation from the pure elements: -0.338 eV/atom

***

(2)
## PrTmGaRu (PBE)

Data for crystalline PrTmGaRu at its relaxed geometry.

a b c (Å): 4.361 5.732 5.732
angles (deg): 40.84 90.00 90.00
Fractional positions:
Pr (0.000, 0.000, 0.000)
Tm (0.500, 0.286, 0.286)
Ga (0.500, 0.588, 0.588)
Ru (0.000, 0.721, 0.721)

## Properties
* space group: Amm2, No. 38
* total magnetic moment: 0.00 μB per cell
* total energy: -5.81 eV per atom
* energy of formation from the pure elements: -0.424 eV/atom

***

Which formula does entry 2 have?
PrTmGaRu

***

Please write out number 1 again, unchanged.
## TbPrGaRu (PBE)

Data for crystalline TbPrGaRu at its relaxed geometry.

a b c (Å): 5.052 5.052 5.052
angles (deg): 60.00 60.00 60.00
Fractional positions:
Tb (0.000, 0.000, 0.000)
Pr (0.500, 0.500, 0.500)
Ga (0.250, 0.250, 0.250)
Ru (0.750, 0.750, 0.750)

## Properties
* space group: F-43m, No. 216
* total magnetic moment: 0.00 μB per cell
* total energy: -5.77 eV per atom
* energy of formation from the pure elements: -0.338 eV/atom

***

What is the energy of formation from the pure elements in the second record?
-0.424 eV/atom